# 1
Material: Co2CuRe
Method: DFT, PBE-GGA
State: optimized geometry

Unit cell a=2.596 b=2.596 c=7.277 alpha=90.00 beta=90.00 gamma=90.00
Atoms (fractional coordinates):
Co: 0.000 0.000 0.000
Co: 0.500 0.500 0.222
Cu: 0.000 0.000 0.468
Re: 0.500 0.500 0.742

The value obtained for the density of states at the Fermi level is 3.4 states/eV/cell. As for the energy of formation: 171 meV per atom.


# 2
Material: CoCu2Re
Method: DFT, PBE-GGA
State: optimized geometry

Unit cell a=5.085 b=5.085 c=5.085 alpha=150.07 beta=129.96 gamma=59.41
Atoms (fractional coordinates):
Co: 0.000 0.000 0.000
Cu: 0.239 0.739 0.500
Cu: 0.761 0.261 0.500
Re: 0.500 0.500 0.000

The value obtained for the density of states at the Fermi level is 5.0 states/eV/cell. As for the energy of formation: 322 meV per atom.


# 3
Material: Co2CuRe
Method: DFT, PBE-GGA
State: optimized geometry

Unit cell a=4.391 b=4.391 c=4.525 alpha=98.61 beta=98.61 gamma=34.24
Atoms (fractional coordinates):
Co: 0.249 0.249 0.245
Co: 0.751 0.751 0.755
Cu: 0.000 0.000 0.500
Re: 0.500 0.500 0.000

The value obtained for the density of states at the Fermi level is 4.3 states/eV/cell. As for the energy of formation: 192 meV per atom.


# 4
Material: Co2CuRe
Method: DFT, PBE-GGA
State: optimized geometry

Unit cell a=4.087 b=4.087 c=4.087 alpha=60.00 beta=60.00 gamma=60.00
Atoms (fractional coordinates):
Co: 0.000 0.000 0.000
Co: 0.250 0.250 0.250
Cu: 0.500 0.500 0.500
Re: 0.750 0.750 0.750

The value obtained for the density of states at the Fermi level is 5.9 states/eV/cell. As for the energy of formation: 370 meV per atom.


# 5
Material: CoCu2Re
Method: DFT, PBE-GGA
State: optimized geometry

Unit cell a=4.314 b=4.314 c=4.314 alpha=127.47 beta=127.47 gamma=77.48
Atoms (fractional coordinates):
Co: 0.000 0.000 0.000
Cu: 0.250 0.750 0.500
Cu: 0.500 0.500 0.000
Re: 0.750 0.250 0.500

The value obtained for the density of states at the Fermi level is 1.4 states/eV/cell. As for the energy of formation: 311 meV per atom.


# 6
Material: CoCu2Re
Method: DFT, PBE-GGA
State: optimized geometry

Unit cell a=4.112 b=4.112 c=4.112 alpha=60.00 beta=60.00 gamma=60.00
Atoms (fractional coordinates):
Co: 0.000 0.000 0.000
Cu: 0.500 0.500 0.500
Cu: 0.750 0.750 0.750
Re: 0.250 0.250 0.250

The value obtained for the density of states at the Fermi level is 1.9 states/eV/cell. As for the energy of formation: 323 meV per atom.